Record 1
Computed, not measured: a PBEsol-optimized structure of Co2Pt at the SCAN level of DFT.

Energy of formation   -80.5 meV per atom
ρ   14.5 g cm⁻³

a = 4.662 Å, b = 4.662 Å, c = 15.271 Å
α = 90.00°, β = 90.00°, γ = 120.00°
Atoms (fractional coordinates):
Co (0.000, 0.500, 0.000)
Co (0.000, 0.500, 0.500)
Co (0.162, 0.324, 0.250)
Co (0.162, 0.838, 0.250)
Co (0.324, 0.162, 0.750)
Co (0.333, 0.667, 0.128)
Co (0.333, 0.667, 0.372)
Co (0.500, 0.000, 0.000)
Co (0.500, 0.000, 0.500)
Co (0.500, 0.500, 0.000)
Co (0.500, 0.500, 0.500)
Co (0.667, 0.333, 0.628)
Co (0.667, 0.333, 0.872)
Co (0.676, 0.838, 0.250)
Co (0.838, 0.162, 0.750)
Co (0.838, 0.676, 0.750)
Pt (0.000, 0.000, 0.092)
Pt (0.000, 0.000, 0.408)
Pt (0.000, 0.000, 0.592)
Pt (0.000, 0.000, 0.908)
Pt (0.333, 0.667, 0.656)
Pt (0.333, 0.667, 0.844)
Pt (0.667, 0.333, 0.156)
Pt (0.667, 0.333, 0.344)

=====

Record 2
Computed, not measured: a PBEsol-optimized structure of Li2MnSiO4 at the SCAN level of DFT.

ρ   3.0 g cm⁻³
Uncorrected formation energy   -2.578 eV/atom
Relative energy among the computed polymorphs   19 meV/atom

a = 5.305 Å, b = 5.305 Å, c = 6.234 Å
α = 90.00°, β = 90.00°, γ = 92.78°
Atoms (fractional coordinates):
Li (0.187, 0.813, 0.750)
Li (0.320, 0.320, 0.000)
Li (0.680, 0.680, 0.500)
Li (0.813, 0.187, 0.250)
Mn (0.178, 0.822, 0.250)
Mn (0.822, 0.178, 0.750)
Si (0.326, 0.326, 0.500)
Si (0.674, 0.674, 0.000)
O (0.192, 0.205, 0.283)
O (0.205, 0.192, 0.717)
O (0.296, 0.634, 0.505)
O (0.366, 0.704, 0.995)
O (0.634, 0.296, 0.495)
O (0.704, 0.366, 0.005)
O (0.795, 0.808, 0.217)
O (0.808, 0.795, 0.783)

=====

Record 3
Computed, not measured: a PBEsol-optimized structure of SrSbOs2 at the SCAN level of DFT.

ρ   12.1 g cm⁻³
Uncorrected formation energy   0.779 eV/atom

a = 3.001 Å, b = 4.320 Å, c = 6.397 Å
α = 90.00°, β = 103.15°, γ = 90.00°
Atoms (fractional coordinates):
Sr (0.000, 0.000, 0.000)
Sb (0.000, 0.000, 0.500)
Os (0.367, 0.500, 0.691)
Os (0.633, 0.500, 0.309)

=====

Record 4
Computed, not measured: a PBEsol-optimized structure of YN at the SCAN level of DFT.

ρ   6.0 g cm⁻³
Uncorrected formation energy   -2.032 eV/atom

a = 3.433 Å, b = 3.433 Å, c = 3.433 Å
α = 60.00°, β = 60.00°, γ = 60.00°
Atoms (fractional coordinates):
Y (0.000, 0.000, 0.000)
N (0.500, 0.500, 0.500)

=====

Record 5
Computed, not measured: a PBEsol-optimized structure of CuAsPt2 at the SCAN level of DFT.

Energy of formation   -31.5 meV per atom
ρ   15.0 g cm⁻³

a = 8.481 Å, b = 8.481 Å, c = 8.481 Å
α = 19.35°, β = 19.35°, γ = 19.35°
Atoms (fractional coordinates):
Cu (0.000, 0.000, 0.000)
As (0.500, 0.500, 0.500)
Pt (0.252, 0.252, 0.252)
Pt (0.748, 0.748, 0.748)

=====

Record 6
Computed, not measured: a PBEsol-optimized structure of MnGeMoH2 at the SCAN level of DFT.

ρ   6.1 g cm⁻³
DFT total energy   -15.410 eV per atom

a = 3.460 Å, b = 3.460 Å, c = 5.119 Å
α = 90.00°, β = 90.00°, γ = 90.00°
Atoms (fractional coordinates):
Mn (0.000, 0.000, 0.000)
Ge (0.500, 0.500, 0.500)
Mo (0.000, 0.000, 0.500)
H (0.000, 0.500, 0.000)
H (0.500, 0.000, 0.000)

=====

Record 7
Computed, not measured: a PBEsol-optimized structure of CaMnPt at the SCAN level of DFT.

Energy of formation   182.2 meV per atom
ρ   7.3 g cm⁻³

a = 4.546 Å, b = 4.546 Å, c = 4.546 Å
α = 60.00°, β = 60.00°, γ = 60.00°
Atoms (fractional coordinates):
Ca (0.000, 0.000, 0.000)
Mn (0.750, 0.750, 0.750)
Pt (0.250, 0.250, 0.250)

=====

Record 8
Computed, not measured: a PBEsol-optimized structure of Ca2PH2 at the SCAN level of DFT.

ρ   2.4 g cm⁻³
DFT total energy   -7.729 eV per atom

a = 7.241 Å, b = 7.241 Å, c = 3.041 Å
α = 90.00°, β = 90.00°, γ = 90.00°
Atoms (fractional coordinates):
Ca (0.154, 0.346, 0.000)
Ca (0.346, 0.846, 0.000)
Ca (0.654, 0.154, 0.000)
Ca (0.846, 0.654, 0.000)
P (0.000, 0.000, 0.000)
P (0.500, 0.500, 0.000)
H (0.110, 0.610, 0.500)
H (0.390, 0.110, 0.500)
H (0.610, 0.890, 0.500)
H (0.890, 0.390, 0.500)

=====

Record 9
Computed, not measured: a PBEsol-optimized structure of La2Y at the SCAN level of DFT.

Energy of formation   68.6 meV per atom
ρ   6.1 g cm⁻³
Relative energy among the computed polymorphs   53 meV/atom

a = 5.726 Å, b = 5.726 Å, c = 7.071 Å
α = 90.00°, β = 90.00°, γ = 120.00°
Atoms (fractional coordinates):
La (0.000, 0.000, 0.000)
La (0.000, 0.000, 0.500)
La (0.333, 0.667, 0.250)
La (0.667, 0.333, 0.750)
Y (0.333, 0.667, 0.750)
Y (0.667, 0.333, 0.250)

=====

Record 10
Computed, not measured: a PBEsol-optimized structure of ZrZnRh2 at the SCAN level of DFT.

Energy of formation   -739.1 meV per atom
ρ   10.1 g cm⁻³

a = 5.019 Å, b = 5.019 Å, c = 5.019 Å
α = 136.25°, β = 136.25°, γ = 63.60°
Atoms (fractional coordinates):
Zr (0.000, 0.000, 0.000)
Zn (0.250, 0.750, 0.500)
Rh (0.500, 0.500, 0.000)
Rh (0.750, 0.250, 0.500)

=====

Record 11
Computed, not measured: a PBEsol-optimized structure of InAg3 at the SCAN level of DFT.

Energy of formation   -25.4 meV per atom
ρ   10.3 g cm⁻³

a = 8.801 Å, b = 8.801 Å, c = 8.801 Å
α = 152.94°, β = 152.94°, γ = 38.64°
Atoms (fractional coordinates):
In (0.126, 0.126, 0.000)
In (0.874, 0.874, 0.000)
Ag (0.000, 0.500, 0.500)
Ag (0.250, 0.750, 0.500)
Ag (0.376, 0.376, 0.000)
Ag (0.500, 0.000, 0.500)
Ag (0.624, 0.624, 0.000)
Ag (0.750, 0.250, 0.500)

=====

Record 12
Computed, not measured: a PBEsol-optimized structure of CoCuPt2 at the SCAN level of DFT.

Energy of formation   -98.2 meV per atom
ρ   16.1 g cm⁻³

a = 2.681 Å, b = 3.728 Å, c = 5.277 Å
α = 90.00°, β = 90.00°, γ = 90.00°
Atoms (fractional coordinates):
Co (0.000, 0.000, 0.000)
Cu (0.500, 0.500, 0.251)
Pt (0.000, 0.000, 0.484)
Pt (0.500, 0.500, 0.775)

=====

Record 13
Computed, not measured: a PBEsol-optimized structure of LiFeBr2 at the SCAN level of DFT.

ρ   4.1 g cm⁻³
Uncorrected formation energy   -0.596 eV/atom

a = 7.401 Å, b = 7.401 Å, c = 7.401 Å
α = 152.00°, β = 152.00°, γ = 40.02°
Atoms (fractional coordinates):
Li (0.000, 0.000, 0.000)
Fe (0.250, 0.750, 0.500)
Br (0.500, 0.500, 0.000)
Br (0.750, 0.250, 0.500)

=====

Record 14
Computed, not measured: a PBEsol-optimized structure of RePdNF2 at the SCAN level of DFT.

ρ   9.2 g cm⁻³
Uncorrected formation energy   -0.281 eV/atom

a = 4.044 Å, b = 4.044 Å, c = 3.819 Å
α = 90.00°, β = 90.00°, γ = 90.00°
Atoms (fractional coordinates):
Re (0.000, 0.000, 0.000)
Pd (0.500, 0.500, 0.500)
N (0.000, 0.000, 0.500)
F (0.000, 0.500, 0.000)
F (0.500, 0.000, 0.000)

=====

Record 15
Computed, not measured: a PBEsol-optimized structure of Li2HgBr at the SCAN level of DFT.

ρ   5.2 g cm⁻³
Uncorrected formation energy   -0.303 eV/atom

a = 5.106 Å, b = 5.106 Å, c = 5.106 Å
α = 60.00°, β = 60.00°, γ = 60.00°
Atoms (fractional coordinates):
Li (0.000, 0.000, 0.000)
Li (0.250, 0.250, 0.250)
Hg (0.500, 0.500, 0.500)
Br (0.750, 0.750, 0.750)

=====

Record 16
Computed, not measured: a PBEsol-optimized structure of CrFe2Ag at the SCAN level of DFT.

Energy of formation   285.8 meV per atom
ρ   9.0 g cm⁻³
Relative energy among the computed polymorphs   0 meV/atom

a = 3.692 Å, b = 3.692 Å, c = 3.693 Å
α = 90.00°, β = 90.00°, γ = 90.00°
Atoms (fractional coordinates):
Cr (0.000, 0.000, 0.000)
Fe (0.000, 0.500, 0.500)
Fe (0.500, 0.000, 0.500)
Ag (0.500, 0.500, 0.000)

=====

Record 17
Computed, not measured: a PBEsol-optimized structure of Sb2O5 at the SCAN level of DFT.

ρ   5.6 g cm⁻³
Uncorrected formation energy   -1.303 eV/atom
Relative energy among the computed polymorphs   97 meV/atom

a = 6.729 Å, b = 6.729 Å, c = 3.816 Å
α = 90.00°, β = 90.00°, γ = 146.00°
Atoms (fractional coordinates):
Sb (0.148, 0.852, 0.000)
Sb (0.852, 0.148, 0.000)
O (0.000, 0.000, 0.000)
O (0.153, 0.847, 0.500)
O (0.312, 0.688, 0.000)
O (0.688, 0.312, 0.000)
O (0.847, 0.153, 0.500)

=====

Record 18
Computed, not measured: a PBEsol-optimized structure of Ga2AgBP at the SCAN level of DFT.

Energy of formation   1299.2 meV per atom
ρ   4.8 g cm⁻³

a = 4.678 Å, b = 4.678 Å, c = 4.608 Å
α = 90.00°, β = 90.00°, γ = 90.00°
Atoms (fractional coordinates):
Ga (0.000, 0.500, 0.000)
Ga (0.500, 0.000, 0.000)
Ag (0.000, 0.000, 0.500)
B (0.500, 0.500, 0.500)
P (0.000, 0.000, 0.000)

=====

Record 19
Computed, not measured: a PBEsol-optimized structure of SrCa2Al at the SCAN level of DFT.

Energy of formation   15.7 meV per atom
ρ   2.5 g cm⁻³

a = 5.003 Å, b = 5.003 Å, c = 5.263 Å
α = 90.00°, β = 90.00°, γ = 90.00°
Atoms (fractional coordinates):
Sr (0.000, 0.000, 0.000)
Ca (0.000, 0.500, 0.500)
Ca (0.500, 0.000, 0.500)
Al (0.500, 0.500, 0.000)

=====

Record 20
Computed, not measured: a PBEsol-optimized structure of MgTa2Au at the SCAN level of DFT.

Energy of formation   -82.3 meV per atom
ρ   14.0 g cm⁻³

a = 3.305 Å, b = 4.323 Å, c = 4.830 Å
α = 90.00°, β = 90.00°, γ = 90.00°
Atoms (fractional coordinates):
Mg (0.000, 0.000, 0.000)
Ta (0.000, 0.500, 0.500)
Ta (0.500, 0.000, 0.500)
Au (0.500, 0.500, 0.000)

=====

Record 21
Computed, not measured: a PBEsol-optimized structure of ZnAu3 at the SCAN level of DFT.

Energy of formation   -175.1 meV per atom
ρ   16.9 g cm⁻³

a = 17.069 Å, b = 17.069 Å, c = 17.069 Å
α = 161.21°, β = 161.21°, γ = 26.70°
Atoms (fractional coordinates):
Zn (0.057, 0.307, 0.750)
Zn (0.193, 0.443, 0.750)
Zn (0.307, 0.057, 0.250)
Zn (0.443, 0.193, 0.250)
Zn (0.557, 0.807, 0.750)
Zn (0.693, 0.943, 0.750)
Zn (0.807, 0.557, 0.250)
Zn (0.943, 0.693, 0.250)
Au (0.002, 0.750, 0.752)
Au (0.058, 0.808, 0.616)
Au (0.065, 0.815, 0.250)
Au (0.185, 0.935, 0.250)
Au (0.192, 0.308, 0.250)
Au (0.250, 0.002, 0.752)
Au (0.250, 0.502, 0.252)
Au (0.308, 0.558, 0.116)
Au (0.315, 0.565, 0.750)
Au (0.435, 0.685, 0.750)
Au (0.442, 0.058, 0.750)
Au (0.498, 0.250, 0.748)
Au (0.502, 0.750, 0.252)
Au (0.558, 0.942, 0.250)
Au (0.565, 0.315, 0.250)
Au (0.685, 0.435, 0.250)
Au (0.692, 0.442, 0.884)
Au (0.750, 0.498, 0.748)
Au (0.750, 0.998, 0.248)
Au (0.808, 0.692, 0.750)
Au (0.815, 0.065, 0.750)
Au (0.935, 0.185, 0.750)
Au (0.942, 0.192, 0.384)
Au (0.998, 0.250, 0.248)

=====

Record 22
Computed, not measured: a PBEsol-optimized structure of LiPm2Pb at the SCAN level of DFT.

Energy of formation   -476.8 meV per atom
ρ   7.8 g cm⁻³

a = 5.334 Å, b = 5.334 Å, c = 5.334 Å
α = 60.00°, β = 60.00°, γ = 60.00°
Atoms (fractional coordinates):
Li (0.000, 0.000, 0.000)
Pm (0.250, 0.250, 0.250)
Pm (0.750, 0.750, 0.750)
Pb (0.500, 0.500, 0.500)

=====

Record 23
Computed, not measured: a PBEsol-optimized structure of SrIr2W at the SCAN level of DFT.

Energy of formation   342.9 meV per atom
ρ   15.2 g cm⁻³
Relative energy among the computed polymorphs   0 meV/atom

a = 5.992 Å, b = 5.992 Å, c = 5.992 Å
α = 152.99°, β = 132.51°, γ = 55.49°
Atoms (fractional coordinates):
Sr (0.000, 0.000, 0.000)
Ir (0.504, 0.504, 0.000)
Ir (0.723, 0.223, 0.500)
W (0.291, 0.791, 0.500)

=====

Record 24
Computed, not measured: a PBEsol-optimized structure of Sc2Cr3 at the SCAN level of DFT.

Energy of formation   518.2 meV per atom
ρ   4.6 g cm⁻³

a = 8.253 Å, b = 8.253 Å, c = 8.253 Å
α = 25.17°, β = 25.17°, γ = 25.17°
Atoms (fractional coordinates):
Sc (0.085, 0.085, 0.085)
Sc (0.915, 0.915, 0.915)
Cr (0.335, 0.335, 0.335)
Cr (0.500, 0.500, 0.500)
Cr (0.665, 0.665, 0.665)

=====

Record 25
Computed, not measured: a PBEsol-optimized structure of HfZnH2 at the SCAN level of DFT.

ρ   9.7 g cm⁻³
DFT total energy   -20.801 eV per atom

a = 5.678 Å, b = 5.678 Å, c = 5.678 Å
α = 136.86°, β = 136.86°, γ = 62.66°
Atoms (fractional coordinates):
Hf (0.000, 0.000, 0.000)
Hf (0.750, 0.250, 0.500)
Zn (0.250, 0.750, 0.500)
Zn (0.500, 0.500, 0.000)
H (0.132, 0.625, 0.007)
H (0.375, 0.382, 0.507)
H (0.618, 0.125, 0.993)
H (0.875, 0.868, 0.493)